4
Lattice="4.559 2.632 0.936 -4.559 2.632 0.936 0.000 -5.264 0.936" Properties=species:S:1:pos:R:3 comment="AgAu3, relaxed, DFT PBEsol" spacegroup="R-3m, No. 166" volume_a3_per_atom=16.8 delta_e_f_ev_per_atom=-0.007 dft_energy_ev_per_atom=-3.777 pbc="T T T"
Ag 0.000 0.000 0.000
Au -2.279 -1.316 0.936
Au -2.279 1.316 1.872
Au 0.000 2.632 0.936



4
Lattice="4.309 -1.364 0.000 4.309 1.364 0.000 -0.713 0.000 4.572" Properties=species:S:1:pos:R:3 comment="AlCuTc2, relaxed, DFT PBEsol" spacegroup="Cm, No. 8" volume_a3_per_atom=13.4 delta_e_f_ev_per_atom=-0.046 dft_energy_ev_per_atom=-7.786 pbc="T T T"
Al 0.000 0.000 0.000
Cu 1.611 0.000 3.627
Tc 3.974 0.000 2.312
Tc 6.262 0.000 1.348



4
Lattice="3.736 0.000 0.000 0.000 3.736 0.000 0.000 0.000 3.756" Properties=species:S:1:pos:R:3 comment="Co2NiPb, relaxed, DFT PBEsol" spacegroup="P4/mmm, No. 123" volume_a3_per_atom=13.1 delta_e_f_ev_per_atom=0.360 dft_energy_ev_per_atom=-6.048 pbc="T T T"
Co 0.000 1.868 0.000
Co 1.868 0.000 0.000
Ni 0.000 0.000 1.878
Pb 1.868 1.868 1.878



4
Lattice="2.789 0.000 0.000 0.000 2.789 0.000 0.000 0.000 7.890" Properties=species:S:1:pos:R:3 comment="InMoRu2, relaxed, DFT PBEsol" spacegroup="P4mm, No. 99" volume_a3_per_atom=15.3 delta_e_f_ev_per_atom=0.230 dft_energy_ev_per_atom=-8.544 pbc="T T T"
In 0.000 0.000 0.000
Mo 1.395 1.395 2.225
Ru 0.000 0.000 4.124
Ru 1.395 1.395 5.833



64
Lattice="9.051 0.000 0.000 -0.177 9.075 0.000 -3.285 -3.477 9.447" Properties=species:S:1:pos:R:3 comment="NiP4O11, relaxed, DFT PBEsol" spacegroup="P-1, No. 2" volume_a3_per_atom=12.1 dft_energy_ev_per_atom=-7.325 raw_formation_energy_mev_per_atom=-1883 pbc="T T T"
Ni 2.021 2.457 0.040
Ni 0.474 5.297 4.891
Ni 5.116 0.301 4.556
Ni 3.569 3.141 9.407
P -0.213 7.268 2.426
P -0.587 0.622 3.918
P -0.072 3.215 2.407
P -0.855 2.090 8.415
P 2.022 8.151 0.524
P 1.129 -1.761 7.422
P 2.028 0.274 5.414
P 1.510 2.859 6.873
P 4.079 2.739 2.573
P 3.561 5.324 4.033
P 4.460 7.359 2.025
P 3.568 -2.553 8.923
P 6.444 3.508 1.032
P 5.662 2.383 7.039
P 6.176 4.976 5.529
P 5.802 -1.670 7.021
O -1.555 5.060 4.904
O -0.351 -0.204 2.599
O -2.131 -0.952 7.678
O 0.317 2.654 1.082
O -1.787 2.069 7.143
O -0.107 2.053 3.540
O 0.989 7.340 1.351
O -1.525 -3.116 9.412
O 0.628 4.339 3.074
O 0.347 6.876 3.743
O 2.133 4.605 0.042
O 0.504 0.177 4.985
O -0.847 3.634 8.839
O 0.167 6.492 6.476
O 0.609 3.683 6.030
O 0.574 1.887 7.797
O 0.499 -1.032 8.555
O 2.988 2.153 1.759
O 3.291 8.312 1.426
O 2.200 1.730 5.942
O 2.087 -0.678 6.651
O 2.558 5.609 5.077
O 3.031 -0.011 4.370
O 3.503 6.276 2.796
O 3.389 3.868 3.504
O 2.299 -2.714 8.020
O 2.601 3.445 7.688
O 5.090 6.630 0.892
O 5.015 3.711 1.650
O 4.980 1.915 3.416
O 5.423 -0.894 2.971
O 6.436 1.965 0.608
O 5.085 5.421 4.462
O 3.457 0.993 9.405
O 5.243 -1.278 5.704
O 4.962 1.259 6.373
O 7.114 8.714 0.035
O 4.600 -1.742 8.096
O 5.696 3.545 5.907
O 7.377 3.529 2.304
O 5.273 2.944 8.365
O 7.721 6.550 1.768
O 5.940 5.802 6.848
O 7.144 0.538 4.543



12
Lattice="3.942 0.000 0.000 0.000 5.182 0.000 0.000 0.000 8.816" Properties=species:S:1:pos:R:3 comment="Eu2Zn5Ni5, relaxed, DFT PBEsol" spacegroup="Pmmm, No. 47" volume_a3_per_atom=15.0 delta_e_f_ev_per_atom=-0.298 dft_energy_ev_per_atom=-5.283 pbc="T T T"
Eu 0.000 0.000 0.000
Eu 0.000 2.591 4.408
Zn 1.971 0.000 4.408
Zn 1.971 1.309 2.143
Zn 1.971 1.309 6.672
Zn 1.971 3.872 2.143
Zn 1.971 3.872 6.672
Ni 0.000 0.000 2.938
Ni 0.000 0.000 5.877
Ni 0.000 2.591 1.385
Ni 0.000 2.591 7.430
Ni 1.971 2.591 0.000



5
Lattice="4.308 0.000 0.000 0.000 4.308 0.000 0.000 0.000 4.308" Properties=species:S:1:pos:R:3 comment="NbB3S, relaxed, DFT PBEsol" spacegroup="Pm-3m, No. 221" volume_a3_per_atom=16.0 dft_energy_ev_per_atom=-5.186 raw_formation_energy_mev_per_atom=2065 pbc="T T T"
Nb 0.000 0.000 0.000
B 0.000 0.000 2.154
B 0.000 2.154 0.000
B 2.154 0.000 0.000
S 2.154 2.154 2.154



4
Lattice="3.458 0.000 0.000 0.000 3.458 0.000 0.000 0.000 5.734" Properties=species:S:1:pos:R:3 comment="AlP2Cl, relaxed, DFT PBEsol" spacegroup="P4/mmm, No. 123" volume_a3_per_atom=17.1 dft_energy_ev_per_atom=-4.219 raw_formation_energy_mev_per_atom=201 pbc="T T T"
Al 0.000 0.000 0.000
P 0.000 1.729 2.867
P 1.729 0.000 2.867
Cl 1.729 1.729 0.000



37
Lattice="5.126 -6.377 0.000 5.126 6.377 0.000 -1.252 0.000 4.607" Properties=species:S:1:pos:R:3 comment="Co3As2H16O16, relaxed, DFT PBEsol" spacegroup="C2/m, No. 12" volume_a3_per_atom=8.1 dft_energy_ev_per_atom=-5.614 pbc="T T T"
Co 0.000 0.000 0.000
Co 5.126 1.377 0.000
Co 5.126 -1.377 0.000
As 2.725 0.000 1.676
As 6.276 0.000 2.931
H 0.438 1.048 2.936
H 0.757 1.693 4.385
H 3.288 2.569 2.373
H 4.003 3.627 3.379
H 0.438 -1.048 2.936
H 4.998 3.627 1.228
H 0.757 -1.693 4.385
H 5.713 2.569 2.234
H 3.288 -2.569 2.373
H 8.244 1.693 0.222
H 4.003 -3.627 3.379
H 8.564 1.048 1.671
H 4.998 -3.627 1.228
H 5.713 -2.569 2.234
H 8.244 -1.693 0.222
H 8.564 -1.048 1.671
O 3.871 4.873 0.879
O 0.986 0.000 1.754
O 3.309 2.905 3.314
O 5.131 4.873 3.728
O 3.223 1.454 0.911
O 5.692 2.905 1.294
O 3.248 0.000 3.318
O 3.223 -1.454 0.911
O 5.778 1.454 3.696
O 5.753 0.000 1.290
O 3.309 -2.905 3.314
O 5.778 -1.454 3.696
O 3.871 -4.873 0.879
O 5.692 -2.905 1.294
O 8.015 0.000 2.853
O 5.131 -4.873 3.728



4
Lattice="0.000 3.503 3.503 3.503 0.000 3.503 3.503 3.503 0.000" Properties=species:S:1:pos:R:3 comment="CaAcRh2, relaxed, DFT PBEsol" spacegroup="Fm-3m, No. 225" volume_a3_per_atom=21.5 delta_e_f_ev_per_atom=-0.376 dft_energy_ev_per_atom=-6.104 pbc="T T T"
Ca 0.000 0.000 0.000
Ac 3.503 3.503 3.503
Rh 1.751 1.751 1.751
Rh 5.254 5.254 5.254